# BaCeClO2 | Alexandria | PBE-GGA | optimized geometry
data_BaCeClO2
_chemical_formula_sum 'Ba1 Ce1 Cl1 O2'
_space_group_name_H-M_alt 'P 1'
_space_group_IT_number 1
_cell_length_a 4.301
_cell_length_b 4.301
_cell_length_c 6.825
_cell_angle_alpha 90.00
_cell_angle_beta 90.00
_cell_angle_gamma 90.00
loop_
_space_group_symop_operation_xyz
'x,y,z'
loop_
_atom_site_label
_atom_site_type_symbol
_atom_site_fract_x
_atom_site_fract_y
_atom_site_fract_z
Ba1 Ba 0.000 0.000 0.000
Ce1 Ce 0.500 0.500 0.342
Cl1 Cl 0.500 0.500 0.770
O1 O 0.000 0.500 0.224
O2 O 0.500 0.000 0.224
# * electronic total energy: -34.1 eV per cell
# * symmetry: No. 99
# * crystal system: tetragonal
# * N(E_F): 5.4 states/eV per cell
# * E_form (uncorrected): -2.891 eV per atom
# * spin magnetization: 1.0 μB per cell

***

# La2I | Alexandria | PBE-GGA | optimized geometry
data_La2I
_chemical_formula_sum 'La2 I1'
_space_group_name_H-M_alt 'P 1'
_space_group_IT_number 1
_cell_length_a 7.866
_cell_length_b 7.863
_cell_length_c 3.821
_cell_angle_alpha 75.98
_cell_angle_beta 75.90
_cell_angle_gamma 28.11
loop_
_space_group_symop_operation_xyz
'x,y,z'
loop_
_atom_site_label
_atom_site_type_symbol
_atom_site_fract_x
_atom_site_fract_y
_atom_site_fract_z
La1 La 0.156 0.156 0.844
La2 La 0.844 0.844 0.156
I1 I 0.500 0.500 0.500
# * electronic total energy: -13.0 eV per cell
# * symmetry: No. 69
# * crystal system: orthorhombic
# * N(E_F): 4.9 states/eV per cell
# * E_form (uncorrected): -0.522 eV per atom
# * spin magnetization: 0.0 μB per cell
# * distance to the lowest polymorph of the same formula: 0.107 eV per atom

***

# FeReSeI2 | Alexandria | PBE-GGA | optimized geometry
data_FeReSeI2
_chemical_formula_sum 'Fe1 Re1 Se1 I2'
_space_group_name_H-M_alt 'P 1'
_space_group_IT_number 1
_cell_length_a 5.177
_cell_length_b 5.177
_cell_length_c 4.676
_cell_angle_alpha 90.00
_cell_angle_beta 90.00
_cell_angle_gamma 90.00
loop_
_space_group_symop_operation_xyz
'x,y,z'
loop_
_atom_site_label
_atom_site_type_symbol
_atom_site_fract_x
_atom_site_fract_y
_atom_site_fract_z
Fe1 Fe 0.000 0.000 0.000
Re1 Re 0.000 0.000 0.500
Se1 Se 0.500 0.500 0.500
I1 I 0.000 0.500 0.000
I2 I 0.500 0.000 0.000
# * electronic total energy: -20.4 eV per cell
# * symmetry: No. 123
# * crystal system: tetragonal
# * N(E_F): 4.9 states/eV per cell
# * E_form (uncorrected): 1.418 eV per atom
# * spin magnetization: 2.0 μB per cell

***

# Ac8Ni3SbI4 | Alexandria | PBE-GGA | optimized geometry
data_Ac8Ni3SbI4
_chemical_formula_sum 'Ac8 Ni3 Sb1 I4'
_space_group_name_H-M_alt 'P 1'
_space_group_IT_number 1
_cell_length_a 9.944
_cell_length_b 9.944
_cell_length_c 9.944
_cell_angle_alpha 53.98
_cell_angle_beta 53.98
_cell_angle_gamma 53.98
loop_
_space_group_symop_operation_xyz
'x,y,z'
loop_
_atom_site_label
_atom_site_type_symbol
_atom_site_fract_x
_atom_site_fract_y
_atom_site_fract_z
Ac1 Ac 0.205 0.744 0.744
Ac2 Ac 0.228 0.228 0.228
Ac3 Ac 0.256 0.256 0.795
Ac4 Ac 0.256 0.795 0.256
Ac5 Ac 0.744 0.205 0.744
Ac6 Ac 0.744 0.744 0.205
Ac7 Ac 0.772 0.772 0.772
Ac8 Ac 0.795 0.256 0.256
Ni1 Ni 0.000 0.000 0.500
Ni2 Ni 0.000 0.500 0.000
Ni3 Ni 0.500 0.000 0.000
Sb1 Sb 0.500 0.500 0.500
I1 I 0.000 0.000 0.000
I2 I 0.000 0.500 0.500
I3 I 0.500 0.000 0.500
I4 I 0.500 0.500 0.000
# * electronic total energy: -72.6 eV per cell
# * symmetry: No. 166
# * crystal system: trigonal
# * N(E_F): 13.0 states/eV per cell
# * E_form (uncorrected): -0.757 eV per atom
# * spin magnetization: 0.0 μB per cell

***

# NbAl2InP | Alexandria | PBE-GGA | optimized geometry
data_NbAl2InP
_chemical_formula_sum 'Nb1 Al2 In1 P1'
_space_group_name_H-M_alt 'P 1'
_space_group_IT_number 1
_cell_length_a 4.701
_cell_length_b 4.701
_cell_length_c 4.762
_cell_angle_alpha 90.00
_cell_angle_beta 90.00
_cell_angle_gamma 90.00
loop_
_space_group_symop_operation_xyz
'x,y,z'
loop_
_atom_site_label
_atom_site_type_symbol
_atom_site_fract_x
_atom_site_fract_y
_atom_site_fract_z
Nb1 Nb 0.000 0.000 0.000
Al1 Al 0.000 0.500 0.500
Al2 Al 0.500 0.000 0.500
In1 In 0.500 0.500 0.000
P1 P 0.000 0.000 0.500
# * electronic total energy: -24.0 eV per cell
# * symmetry: No. 123
# * crystal system: tetragonal
# * ΔH_f (0 K): 0.34 eV/atom
# * N(E_F): 3.7 states/eV per cell
# * spin magnetization: 0.1 μB per cell

***

# AlZnAg2Se4 | Alexandria | PBE-GGA | optimized geometry
data_AlZnAg2Se4
_chemical_formula_sum 'Al1 Zn1 Ag2 Se4'
_space_group_name_H-M_alt 'P 1'
_space_group_IT_number 1
_cell_length_a 7.035
_cell_length_b 7.035
_cell_length_c 7.035
_cell_angle_alpha 129.53
_cell_angle_beta 129.53
_cell_angle_gamma 74.15
loop_
_space_group_symop_operation_xyz
'x,y,z'
loop_
_atom_site_label
_atom_site_type_symbol
_atom_site_fract_x
_atom_site_fract_y
_atom_site_fract_z
Al1 Al 0.000 0.000 0.000
Zn1 Zn 0.750 0.250 0.500
Ag1 Ag 0.250 0.750 0.500
Ag2 Ag 0.500 0.500 0.000
Se1 Se 0.100 0.122 0.468
Se2 Se 0.368 0.900 0.022
Se3 Se 0.654 0.632 0.532
Se4 Se 0.878 0.346 0.978
# * electronic total energy: -28.3 eV per cell
# * symmetry: No. 82
# * crystal system: tetragonal
# * N(E_F): 7.0 states/eV per cell
# * E_form (uncorrected): -0.454 eV per atom
# * spin magnetization: 0.0 μB per cell